Here is a relaxed structure of Sr2LiAg2 from OQMD. Energies are from PBE-GGA.

## Properties
The space group is C2/m (12). The calculation puts the total DFT energy (no corrections) at -2.4512 eV per atom.

abc: 6.467 6.467 11.762
angles: 116.56 116.56 41.99
Atoms (fractional coordinates):
Sr (0.503, 0.503, 0.830)
Sr (0.312, 0.312, 0.392)
Sr (0.497, 0.497, 0.170)
Sr (0.688, 0.688, 0.608)
Li (0.778, 0.778, 0.127)
Li (0.222, 0.222, 0.873)
Ag (0.139, 0.139, 0.066)
Ag (0.987, 0.987, 0.616)
Ag (0.013, 0.013, 0.384)
Ag (0.861, 0.861, 0.934)

=====

Here is a relaxed structure of LiBeZn2Cu4 from OQMD. Energies are from PBE-GGA.

## Properties
The space group is P4/mmm (123). The calculation puts the total DFT energy (no corrections) at -2.9445 eV per atom.

abc: 4.058 4.058 5.742
angles: 90.00 90.00 90.00
Atoms (fractional coordinates):
Li (0.000, 0.000, 0.500)
Zn (0.500, 0.500, 0.500)
Zn (0.000, 0.000, 0.000)
Cu (0.500, 0.000, 0.762)
Cu (0.500, 0.000, 0.238)
Cu (0.000, 0.500, 0.238)
Cu (0.000, 0.500, 0.762)
Be (0.500, 0.500, 0.000)

=====

Here is a relaxed structure of CsPdS2 from OQMD. Energies are from PBE-GGA.

## Properties
The space group is P-1 (2). The calculation puts the total DFT energy (no corrections) at -4.0577 eV per atom.

abc: 5.934 7.104 7.117
angles: 116.35 102.03 101.36
Atoms (fractional coordinates):
Cs (0.251, 0.856, 0.142)
Cs (0.749, 0.144, 0.858)
S (0.594, 0.584, 0.790)
S (0.910, 0.210, 0.420)
S (0.090, 0.790, 0.580)
S (0.406, 0.416, 0.210)
Pd (0.250, 0.498, 0.502)
Pd (0.750, 0.502, 0.498)

=====

Here is a relaxed structure of RbSmY from OQMD. Energies are from PBE-GGA.

## Properties
As for the energy above the lowest structure with this stoichiometry: 0.00 kJ per mole of atoms. The space group is F-43m (216).

abc: 6.025 6.025 6.025
angles: 60.00 60.00 60.00
Site moments in Bohr magnetons follow the coordinates.
Atoms (fractional coordinates):
Sm (0.000, 0.000, 0.000)  0.29
Y (0.250, 0.250, 0.250)  0.32
Rb (0.500, 0.500, 0.500)  0.02

=====

Here is a relaxed structure of TbDy2Tl2Zn3In from OQMD. Energies are from PBE-GGA.

## Properties
The space group is Amm2 (38). The calculation puts the total DFT energy (no corrections) at -3.1082 eV per atom.

abc: 4.563 7.281 7.281
angles: 120.10 90.00 90.00
Atoms (fractional coordinates):
Zn (0.500, 0.000, 0.236)
Zn (0.500, 0.763, 0.763)
Zn (0.500, 0.236, 0.000)
Dy (0.000, 0.000, 0.559)
Dy (0.000, 0.559, 0.000)
Tl (0.500, 0.667, 0.333)
Tl (0.500, 0.333, 0.667)
Tb (0.000, 0.441, 0.441)
In (0.000, 0.999, 0.999)

=====

Here is a relaxed structure of Y2CoOsC6 from OQMD. Energies are from PBE-GGA.

## Properties
The space group is R3 (146). The calculation puts the total DFT energy (no corrections) at -8.3322 eV per atom.

abc: 5.191 5.191 5.191
angles: 68.37 68.37 68.37
Atoms (fractional coordinates):
Y (0.783, 0.783, 0.783)
Y (0.219, 0.219, 0.219)
C (0.667, 0.310, 0.877)
C (0.689, 0.331, 0.123)
C (0.877, 0.667, 0.310)
C (0.331, 0.123, 0.689)
C (0.310, 0.877, 0.667)
C (0.123, 0.689, 0.331)
Co (0.004, 0.004, 0.004)
Os (0.499, 0.499, 0.499)

=====

Here is a relaxed structure of AgS from OQMD. Energies are from PBE-GGA.

## Properties
The space group is Fm-3m (225). The calculation puts the total DFT energy (no corrections) at -3.3914 eV per atom.

abc: 3.743 3.743 3.743
angles: 60.00 60.00 60.00
Atoms (fractional coordinates):
Ag (0.000, 0.000, 0.000)
S (0.500, 0.500, 0.500)

=====

Here is a relaxed structure of NaTl2ZnBr6 from OQMD. Energies are from PBE-GGA.

## Properties
The space group is Fm-3m (225). The calculation puts the total DFT energy (no corrections) at -2.5070 eV per atom.

abc: 7.693 7.693 7.693
angles: 60.00 60.00 60.00
Atoms (fractional coordinates):
Zn (0.000, 0.000, 0.000)
Tl (0.750, 0.750, 0.750)
Tl (0.250, 0.250, 0.250)
Br (0.239, 0.761, 0.239)
Br (0.761, 0.239, 0.761)
Br (0.761, 0.239, 0.239)
Br (0.761, 0.761, 0.239)
Br (0.239, 0.761, 0.761)
Br (0.239, 0.239, 0.761)
Na (0.500, 0.500, 0.500)

=====

Here is a relaxed structure of HfBPtAu from OQMD. Energies are from PBE-GGA.

## Properties
As for the energy above the lowest structure with this stoichiometry: 0.00 kJ per mole of atoms. The space group is F-43m (216).

abc: 4.440 4.440 4.440
angles: 60.00 60.00 60.00
Atoms (fractional coordinates):
Au (0.750, 0.750, 0.750)
Hf (0.000, 0.000, 0.000)
Pt (0.500, 0.500, 0.500)
B (0.250, 0.250, 0.250)

=====

Here is a relaxed structure of AcHf from OQMD. Energies are from PBE-GGA.

## Properties
As for the energy above the lowest structure with this stoichiometry: 165.46 kJ per mole of atoms. For the formation energy, the calculation gives 2.2159 eV/atom. The space group is F-43m (216).

abc: 4.957 4.957 4.957
angles: 60.00 60.00 60.00
Atoms (fractional coordinates):
Hf (0.250, 0.250, 0.250)
Ac (0.000, 0.000, 0.000)

=====

Here is a relaxed structure of Y2ErIn3Pt2Au from OQMD. Energies are from PBE-GGA.

## Properties
The space group is Amm2 (38). The calculation puts the total DFT energy (no corrections) at -5.4814 eV per atom.

abc: 3.795 7.778 7.778
angles: 119.85 90.00 90.00
Atoms (fractional coordinates):
In (0.500, 0.000, 0.731)
In (0.500, 0.731, 0.000)
In (0.500, 0.269, 0.269)
Au (0.000, 0.999, 0.999)
Pt (0.500, 0.666, 0.336)
Pt (0.500, 0.336, 0.666)
Y (0.000, 0.000, 0.407)
Y (0.000, 0.407, 0.000)
Er (0.000, 0.592, 0.592)

=====

Here is a relaxed structure of Pr3Sn13Ir4 from OQMD. Energies are from PBE-GGA.

## Properties
The space group is Pm-3n (223). The calculation puts the total DFT energy (no corrections) at -5.6006 eV per atom.

abc: 9.814 9.814 9.814
angles: 90.00 90.00 90.00
Atoms (fractional coordinates):
Sn (0.806, 0.652, 0.500)
Sn (0.694, 0.000, 0.848)
Sn (0.000, 0.152, 0.694)
Sn (0.500, 0.194, 0.348)
Sn (0.348, 0.500, 0.194)
Sn (0.000, 0.152, 0.306)
Sn (0.000, 0.000, 0.000)
Sn (0.152, 0.694, 0.000)
Sn (0.806, 0.348, 0.500)
Sn (0.500, 0.500, 0.500)
Sn (0.348, 0.500, 0.806)
Sn (0.000, 0.848, 0.694)
Sn (0.848, 0.694, 0.000)
Sn (0.848, 0.306, 0.000)
Sn (0.000, 0.848, 0.306)
Sn (0.306, 0.000, 0.152)
Sn (0.500, 0.806, 0.348)
Sn (0.500, 0.194, 0.652)
Sn (0.194, 0.348, 0.500)
Sn (0.694, 0.000, 0.152)
Sn (0.152, 0.306, 0.000)
Sn (0.194, 0.652, 0.500)
Sn (0.652, 0.500, 0.806)
Sn (0.306, 0.000, 0.848)
Sn (0.500, 0.806, 0.652)
Sn (0.652, 0.500, 0.194)
Pr (0.500, 0.250, 0.000)
Pr (0.500, 0.750, 0.000)
Pr (0.250, 0.000, 0.500)
Pr (0.750, 0.000, 0.500)
Pr (0.000, 0.500, 0.750)
Pr (0.000, 0.500, 0.250)
Ir (0.750, 0.250, 0.750)
Ir (0.250, 0.250, 0.250)
Ir (0.750, 0.750, 0.250)
Ir (0.250, 0.750, 0.750)
Ir (0.750, 0.750, 0.750)
Ir (0.250, 0.250, 0.750)
Ir (0.750, 0.250, 0.250)
Ir (0.250, 0.750, 0.250)